(1)
Density functional theory data (GGA-PBE) for a relaxed structure of Zr2CoSn2.

## Properties
space-group type	I4/mmm (139)
M_tot	0.0	μB/f.u.
total energy	-6.016	eV/atom

Unit cell a=7.999 b=7.999 c=7.999 alpha=151.60 beta=151.60 gamma=40.59
Fractional positions:
Co 0.000 0.000 0.000
Sn 0.750 0.250 0.500
Sn 0.250 0.750 0.500
Zr 0.406 0.406 0.000
Zr 0.594 0.594 0.000

(2)
Density functional theory data (GGA-PBE) for a relaxed structure of ZrCoSn2.

## Properties
space-group type	F-43m (216)
M_tot	0.8	μB/f.u.
total energy	-5.740	eV/atom

Unit cell a=4.845 b=4.845 c=4.845 alpha=60.00 beta=60.00 gamma=60.00
Last column: magnetic moment on the atom in μB.
Fractional positions:
Co 0.500 0.500 0.500  0.86
Sn 0.000 0.000 0.000  0.07
Sn 0.750 0.750 0.750  0.00
Zr 0.250 0.250 0.250  0.00

(3)
Density functional theory data (GGA-PBE) for a relaxed structure of Zr2Co2Sn.

## Properties
space-group type	I4/mmm (139)
M_tot	0.0	μB/f.u.
total energy	-6.958	eV/atom

Unit cell a=6.721 b=6.721 c=6.721 alpha=146.16 beta=146.16 gamma=48.61
Fractional positions:
Co 0.750 0.250 0.500
Co 0.250 0.750 0.500
Sn 0.000 0.000 0.000
Zr 0.378 0.378 0.000
Zr 0.622 0.622 0.000

(4)
Density functional theory data (GGA-PBE) for a relaxed structure of Zr2CoSn.

## Properties
space-group type	F-43m (216)
M_tot	3.0	μB/f.u.
total energy	-7.016	eV/atom

Unit cell a=4.776 b=4.776 c=4.776 alpha=60.00 beta=60.00 gamma=60.00
Last column: magnetic moment on the atom in μB.
Fractional positions:
Co 0.750 0.750 0.750  0.83
Sn 0.000 0.000 0.000  0.02
Zr 0.250 0.250 0.250  1.07
Zr 0.500 0.500 0.500  0.53

(5)
Density functional theory data (GGA-PBE) for a relaxed structure of Zr2CoSn2.

## Properties
space-group type	I4/mmm (139)
M_tot	2.2	μB/f.u.
total energy	-5.921	eV/atom

Unit cell a=7.669 b=7.669 c=7.669 alpha=149.59 beta=149.59 gamma=43.55
Fractional positions:
Co 0.000 0.000 0.000
Sn 0.407 0.407 0.000
Sn 0.593 0.593 0.000
Zr 0.750 0.250 0.500
Zr 0.250 0.750 0.500

(6)
Density functional theory data (GGA-PBE) for a relaxed structure of ZrCoSn2.

## Properties
space-group type	F-43m (216)
M_tot	1.0	μB/f.u.
total energy	-5.739	eV/atom

Unit cell a=4.838 b=4.838 c=4.838 alpha=60.00 beta=60.00 gamma=60.00
Fractional positions:
Co 0.250 0.250 0.250
Sn 0.000 0.000 0.000
Sn 0.750 0.750 0.750
Zr 0.500 0.500 0.500

(7)
Density functional theory data (GGA-PBE) for a relaxed structure of Zr2Co3Sn2.

## Properties
space-group type	R3m (160)
M_tot	1.0	μB/f.u.
total energy	-7.075	eV/atom

Unit cell a=7.594 b=7.594 c=7.594 alpha=33.65 beta=33.65 gamma=33.65
Last column: magnetic moment on the atom in μB.
Fractional positions:
Co 0.124 0.124 0.124  0.71
Co 0.378 0.378 0.378  0.24
Co 0.873 0.873 0.873  0.27
Sn 0.252 0.252 0.252  0.01
Sn 0.747 0.747 0.747  0.00
Zr 0.504 0.504 0.504  -0.07
Zr 0.997 0.997 0.997  -0.07

(8)
Density functional theory data (GGA-PBE) for a relaxed structure of Sr3Co2.

## Properties
space-group type	R-3c (167)
M_tot	0.0	μB/f.u.
total energy	-3.371	eV/atom

Unit cell a=7.683 b=7.683 c=7.778 alpha=119.60 beta=60.40 gamma=120.00
Last column: magnetic moment on the atom in μB.
Fractional positions:
Co 0.307 0.693 0.079  1.29
Co 0.193 0.807 0.421  1.29
Co 0.807 0.193 0.579  1.29
Co 0.693 0.307 0.921  1.29
Sr 0.611 0.750 0.250  -0.05
Sr 0.889 0.389 0.250  -0.05
Sr 0.250 0.111 0.250  -0.05
Sr 0.750 0.889 0.750  -0.05
Sr 0.111 0.611 0.750  -0.05
Sr 0.389 0.250 0.750  -0.05